i | A plane-wave DFT calculation with PBE was carried out for crystalline La3Hg at its relaxed geometry.

The structure in extended XYZ format:
```
16
Lattice="-2.3988 5.7334 -2.7652 4.3826 -2.9551 -9.9291 -5.8664 -3.2384 -1.6255" Properties=species:S:1:pos:R:3 pbc="T T T"
Hg -3.2443 3.1716 -5.5617
Hg -3.2976 -1.5709 -10.5453
Hg -0.5849 1.1109 -3.7746
Hg -0.6383 -3.6317 -8.7581
La -6.3017 2.2078 -6.6243
La 0.0034 -0.4726 -9.4151
La -3.8860 0.0126 -4.9047
La 2.4192 -2.6679 -7.6955
La -2.6885 -0.1487 -1.6292
La -1.7260 -4.1338 -11.7878
La -0.3001 2.4219 -6.7380
La -3.0506 0.9404 -8.4846
La -1.1941 -0.3114 -12.6907
La -2.1566 3.6737 -2.5320
La -3.5825 -2.8820 -7.5818
La -0.8320 -1.4005 -5.8352
```

Output
- DOS(E_F) (states/eV per cell) = 21.65

***

ii | A plane-wave DFT calculation with PBE was carried out for crystalline La3Hg at its relaxed geometry.

The structure in extended XYZ format:
```
4
Lattice="-3.5285 1.4230 0.2206 0.5567 -3.5091 -1.3784 -1.0427 -4.1633 10.1776" Properties=species:S:1:pos:R:3 pbc="T T T"
Hg 0.0000 0.0000 0.0000
La -0.5213 -2.0816 5.0888
La -1.0394 -2.8008 1.4421
La -1.6133 -5.0926 7.0446
```

Output
- DOS(E_F) (states/eV per cell) = 6.09

***

Relative to the most stable structure, the computed energies are i 0; ii 88, all in meV/atom.

***

i | A plane-wave DFT calculation with PBE was carried out for crystalline LaHg7 at its relaxed geometry.

The structure in extended XYZ format:
```
8
Lattice="-3.1776 -2.2726 -5.5456 2.5209 -5.2826 -3.4285 -3.2075 -5.9756 0.1380" Properties=species:S:1:pos:R:3 pbc="T T T"
Hg 1.2605 -2.6413 -1.7142
Hg -0.3433 -5.6291 -1.6453
Hg -0.3283 -3.7776 -4.4870
Hg -3.1926 -4.1241 -2.7038
Hg -1.5888 -1.1363 -2.7728
Hg -1.6038 -2.9878 0.0690
Hg -1.9321 -6.7654 -4.4180
La 0.0000 0.0000 0.0000
```

Output
- DOS(E_F) (states/eV per cell) = 8.02

***

ii | A plane-wave DFT calculation with PBE was carried out for crystalline LaHg7 at its relaxed geometry.

The structure in extended XYZ format:
```
8
Lattice="4.6387 0.0000 -1.1392 -0.2798 4.6303 -1.1392 -0.0464 -0.0493 9.8246" Properties=species:S:1:pos:R:3 pbc="T T T"
La 0.0000 0.0000 0.0000
Hg 3.9056 1.6850 5.8893
Hg 3.2478 3.4500 3.2110
Hg 2.8662 0.5808 1.6569
Hg 2.1795 2.3151 -1.1392
Hg 1.4463 4.0001 5.8893
Hg 1.0647 1.1309 4.3352
Hg 0.4069 2.8960 1.6569
```

Output
- DOS(E_F) (states/eV per cell) = 4.61

***

Relative to the most stable structure, the computed energies are i 64; ii 0, all in meV/atom.

***

i | A plane-wave DFT calculation with PBE was carried out for crystalline La4Hg at its relaxed geometry.

The structure in extended XYZ format:
```
10
Lattice="6.4843 0.3341 0.0000 -2.6440 5.5766 0.0000 0.0000 0.0000 9.2921" Properties=species:S:1:pos:R:3 pbc="T T T"
La -0.2499 3.2140 6.0760
La 2.7682 5.4850 6.0760
La 1.5716 0.1314 8.6042
La 3.5907 2.9910 8.6042
La 2.2687 5.7793 0.6879
La 0.2496 2.9197 0.6879
La 1.0721 0.4257 3.2161
La 4.0902 2.6967 3.2161
Hg 1.2592 4.3495 3.4413
Hg 2.5812 1.5612 5.8509
```

Output
- DOS(E_F) (states/eV per cell) = 14.42

***

ii | A plane-wave DFT calculation with PBE was carried out for crystalline La4Hg at its relaxed geometry.

The structure in extended XYZ format:
```
5
Lattice="3.7770 0.0000 -0.5703 -0.0861 3.7760 -0.5703 -0.1197 -0.1225 11.9988" Properties=species:S:1:pos:R:3 pbc="T T T"
La 2.1416 2.1910 1.3912
La 0.6750 0.6906 4.4705
La 2.8961 2.9629 6.3877
La 1.4295 1.4625 9.4669
Hg 0.0000 0.0000 0.0000
```

Output
- DOS(E_F) (states/eV per cell) = 6.97

***

iii | A plane-wave DFT calculation with PBE was carried out for crystalline La4Hg at its relaxed geometry.

The structure in extended XYZ format:
```
5
Lattice="-3.6856 -4.4443 -1.5769 4.5294 -2.7791 -2.7539 1.3127 -2.8892 5.0746" Properties=species:S:1:pos:R:3 pbc="T T T"
Hg 1.0782 -5.0563 0.3719
La 0.0000 0.0000 0.0000
La -1.1865 -3.6667 1.7489
La 2.9210 -2.8341 1.1604
La 0.4219 -3.6117 -2.1654
```

Output
- DOS(E_F) (states/eV per cell) = 7.18

***

iv | A plane-wave DFT calculation with PBE was carried out for crystalline La4Hg at its relaxed geometry.

The structure in extended XYZ format:
```
5
Lattice="-0.9302 1.7546 -4.5673 -5.9818 1.3982 -0.9600 1.4091 4.4291 4.1299" Properties=species:S:1:pos:R:3 pbc="T T T"
Hg 0.0000 0.0000 0.0000
La -0.4783 3.1866 1.3216
La -2.9090 5.4982 -0.0107
La -5.0246 4.3952 -2.7189
La -2.5939 2.0836 -1.3867
```

Output
- DOS(E_F) (states/eV per cell) = 7.21

***

Relative to the most stable structure, the computed energies are i 101; ii 0; iii 380; iv 41, all in meV/atom.

***

i | A plane-wave DFT calculation with PBE was carried out for crystalline LaHg4 at its relaxed geometry.

The structure in extended XYZ format:
```
5
Lattice="-2.4079 -2.6487 5.1260 4.0955 -4.6971 -0.5032 4.0643 3.1640 3.5440" Properties=species:S:1:pos:R:3 pbc="T T T"
Hg 0.0000 0.0000 0.0000
Hg 0.8282 0.2577 4.3350
Hg 4.0799 -0.7666 1.5204
Hg 0.8438 -3.6729 2.3114
La 2.8759 -2.0909 4.0834
```

Output
- DOS(E_F) (states/eV per cell) = 6.91

***

ii | A plane-wave DFT calculation with PBE was carried out for crystalline LaHg4 at its relaxed geometry.

The structure in extended XYZ format:
```
5
Lattice="-4.8853 -0.2458 1.7108 0.9718 -2.6131 2.3839 3.4994 6.2899 2.6520" Properties=species:S:1:pos:R:3 pbc="T T T"
La 0.2788 0.4089 4.5653
Hg 0.4164 3.7570 5.3635
Hg -0.8305 -0.3262 1.3832
Hg -2.9590 0.5714 3.2224
Hg 2.5449 2.8595 3.5242
```

Output
- DOS(E_F) (states/eV per cell) = 2.13

***

Relative to the most stable structure, the computed energies are i 565; ii 0, all in meV/atom.

***

i | A plane-wave DFT calculation with PBE was carried out for crystalline La3Hg5 at its relaxed geometry.

The structure in extended XYZ format:
```
16
Lattice="-7.0576 -4.0741 4.4798 2.3344 -2.8349 -8.5389 4.1186 -4.3197 2.5601" Properties=species:S:1:pos:R:3 pbc="T T T"
Hg -0.7960 -3.2477 -4.1992
Hg -1.8677 -5.8215 1.4205
Hg 0.1911 -7.9807 2.7002
Hg 1.2633 -5.4075 -2.9192
Hg 0.8719 -5.3529 -6.3159
Hg -1.4766 -5.8768 4.8155
Hg -5.2026 -6.1528 2.1068
Hg -2.0270 -5.5483 -1.9821
Hg 1.4215 -5.6807 0.4841
Hg 4.5992 -5.0747 -3.6055
La -1.5000 -6.7214 -4.8092
La 0.8958 -4.5064 3.3112
La 2.6372 -3.0344 -5.2439
La -0.4375 -3.2262 -0.6212
La -0.1664 -8.0027 -0.8792
La -3.2429 -8.1951 3.7455
```

Output
- DOS(E_F) (states/eV per cell) = 12.07

***

ii | A plane-wave DFT calculation with PBE was carried out for crystalline La3Hg5 at its relaxed geometry.

The structure in extended XYZ format:
```
16
Lattice="-0.9267 -8.2713 3.9723 2.6404 3.9648 -7.8968 7.3170 2.6761 4.9578" Properties=species:S:1:pos:R:3 pbc="T T T"
Hg 5.4083 2.2513 -2.4552
Hg 3.6252 -3.8676 3.4785
Hg 5.6578 -3.7480 6.5857
Hg 3.3800 2.1193 -5.5463
Hg 3.1481 -2.9511 -0.0849
Hg 5.8876 1.3293 1.1134
Hg 6.3081 -1.4893 4.3913
Hg 2.7131 -0.1404 -3.3579
Hg 2.8516 1.1351 0.0008
Hg 6.1775 -2.7574 1.0253
La 1.2846 -3.2301 -2.9413
La 7.7446 1.5992 3.9787
La 3.7862 -0.7684 2.4982
La 5.2473 -0.8491 -1.4747
La 7.6824 3.4983 -0.4815
La 1.3496 -5.1188 1.5096
```

Output
- DOS(E_F) (states/eV per cell) = 14.67

***

Relative to the most stable structure, the computed energies are i 28; ii 0, all in meV/atom.

***

i | A plane-wave DFT calculation with PBE was carried out for crystalline LiLa2Hg2 at its relaxed geometry.

The structure in extended XYZ format:
```
20
Lattice="-4.1684 2.0200 5.5626 -7.1689 -3.8893 -3.9597 0.9257 -6.9724 5.1724" Properties=species:S:1:pos:R:3 pbc="T T T"
Li -4.1106 -4.5449 0.8157
Li -6.3010 -4.2968 5.9596
Li -9.2882 -5.2131 1.8884
Li -1.1234 -3.6286 4.8869
La -3.3290 -0.8369 2.4640
La -5.9690 -0.1285 4.9383
La -4.4427 -8.7132 1.8369
La -7.0826 -8.0048 4.3113
La -6.7712 -4.9747 -1.2436
La -6.9080 -2.9082 2.6134
La -3.5036 -5.9335 4.1618
La -3.6404 -3.8670 8.0188
Hg -9.9902 -2.7335 1.0610
Hg -5.0455 -2.1916 -0.1403
Hg -5.3661 -6.6501 6.9155
Hg -0.4214 -6.1082 5.7142
Hg -4.1842 -2.8944 4.8638
Hg -1.8481 -3.7677 2.2216
Hg -8.5635 -5.0740 4.5537
Hg -6.2274 -5.9473 1.9115
```

Output
- DOS(E_F) (states/eV per cell) = 20.04

***

ii | A plane-wave DFT calculation with PBE was carried out for crystalline LiLa2Hg2 at its relaxed geometry.

The structure in extended XYZ format:
```
10
Lattice="6.1478 0.0000 0.0000 0.0000 6.6660 0.0000 -3.0739 -3.3330 7.0893" Properties=species:S:1:pos:R:3 pbc="T T T"
Li 4.6109 3.3330 0.0000
Li 1.5370 3.3330 0.0000
La 3.0739 2.1764 5.1076
La 0.0000 1.1566 1.9817
La 3.0739 5.5094 1.9817
La 0.0000 -2.1764 5.1076
Hg 0.0000 1.1757 5.2179
Hg 3.0739 2.1573 1.8714
Hg 0.0000 4.5087 1.8714
Hg 3.0739 -1.1757 5.2179
```

Output
- DOS(E_F) (states/eV per cell) = 10.05

***

Relative to the most stable structure, the computed energies are i 0; ii 77, all in meV/atom.